# PrSm12In3 PBE relaxed
data_PrSm12In3
_space_group_name_H-M_alt 'P 1'
_space_group_IT_number 1
_cell_length_a 4.9536
_cell_length_b 4.9536
_cell_length_c 20.2866
_cell_angle_alpha 90.00
_cell_angle_beta 90.00
_cell_angle_gamma 90.00
loop_
_space_group_symop_operation_xyz
'x,y,z'
loop_
_atom_site_label
_atom_site_type_symbol
_atom_site_fract_x
_atom_site_fract_y
_atom_site_fract_z
Sm1 Sm 0.5000 0.5000 0.5000
Sm2 Sm 0.0000 0.5000 0.3779
Sm3 Sm 0.5000 0.5000 0.7432
Sm4 Sm 0.0000 0.5000 0.8667
Sm5 Sm 0.5000 0.0000 0.3779
Sm6 Sm 0.0000 0.5000 0.6221
Sm7 Sm 0.5000 0.5000 0.2568
Sm8 Sm 0.5000 0.0000 0.1333
Sm9 Sm 0.0000 0.5000 0.1333
Sm10 Sm 0.5000 0.5000 0.0000
Sm11 Sm 0.5000 0.0000 0.8667
Sm12 Sm 0.5000 0.0000 0.6221
In1 In 0.0000 0.0000 0.2570
In2 In 0.0000 0.0000 0.7430
In3 In 0.0000 0.0000 0.5000
Pr1 Pr 0.0000 0.0000 0.0000
# - Total energy: -0.1669 Ha/atom
# - Calculated volume: 497.8 Å³/cell


# Pr2Sm4In PBE relaxed
data_Pr2Sm4In
_space_group_name_H-M_alt 'P 1'
_space_group_IT_number 1
_cell_length_a 10.9638
_cell_length_b 6.6167
_cell_length_c 6.4004
_cell_angle_alpha 90.01
_cell_angle_beta 90.00
_cell_angle_gamma 90.00
loop_
_space_group_symop_operation_xyz
'x,y,z'
loop_
_atom_site_label
_atom_site_type_symbol
_atom_site_fract_x
_atom_site_fract_y
_atom_site_fract_z
In1 In 0.5000 0.5000 0.0000
In2 In 0.0000 0.0000 0.0000
Pr1 Pr 0.4562 0.0004 0.7451
Pr2 Pr 0.0438 0.5004 0.7451
Pr3 Pr 0.9562 0.4996 0.2549
Pr4 Pr 0.5438 0.9996 0.2549
Sm1 Sm 0.8470 0.9997 0.4307
Sm2 Sm 0.7497 0.7504 0.8944
Sm3 Sm 0.7503 0.2504 0.8944
Sm4 Sm 0.6530 0.4997 0.4307
Sm5 Sm 0.2497 0.7496 0.1056
Sm6 Sm 0.3470 0.5003 0.5693
Sm7 Sm 0.1530 0.0003 0.5693
Sm8 Sm 0.2503 0.2496 0.1056
# - Total energy: -0.1654 Ha/atom
# - Calculated volume: 464.3 Å³/cell
# - Excess energy over the best structure of this formula in the dataset: 0.013 eV/atom


# Pr2SmIn2 PBE relaxed
data_Pr2SmIn2
_space_group_name_H-M_alt 'P 1'
_space_group_IT_number 1
_cell_length_a 3.8739
_cell_length_b 5.4925
_cell_length_c 14.5120
_cell_angle_alpha 90.00
_cell_angle_beta 97.70
_cell_angle_gamma 90.00
loop_
_space_group_symop_operation_xyz
'x,y,z'
loop_
_atom_site_label
_atom_site_type_symbol
_atom_site_fract_x
_atom_site_fract_y
_atom_site_fract_z
In1 In 0.5512 0.2500 0.1023
In2 In 0.6426 0.7500 0.2860
In3 In 0.4488 0.7500 0.8977
In4 In 0.3574 0.2500 0.7140
Sm1 Sm 0.1458 0.2500 0.2935
Sm2 Sm 0.8542 0.7500 0.7065
Pr1 Pr 0.9529 0.2500 0.9053
Pr2 Pr 0.2364 0.7500 0.4722
Pr3 Pr 0.0471 0.7500 0.0947
Pr4 Pr 0.7636 0.2500 0.5278
# - Total energy: -0.1592 Ha/atom
# - Calculated volume: 306.0 Å³/cell
# - Excess energy over the best structure of this formula in the dataset: 0.000 eV/atom


# Pr2SmIn PBE relaxed
data_Pr2SmIn
_space_group_name_H-M_alt 'P 1'
_space_group_IT_number 1
_cell_length_a 5.0239
_cell_length_b 4.9805
_cell_length_c 4.9805
_cell_angle_alpha 90.00
_cell_angle_beta 90.00
_cell_angle_gamma 90.00
loop_
_space_group_symop_operation_xyz
'x,y,z'
loop_
_atom_site_label
_atom_site_type_symbol
_atom_site_fract_x
_atom_site_fract_y
_atom_site_fract_z
In1 In 0.5000 0.0000 0.0000
Pr1 Pr 0.0000 0.5000 0.0000
Pr2 Pr 0.0000 0.0000 0.5000
Sm1 Sm 0.5000 0.5000 0.5000
# - Total energy: -0.1663 Ha/atom
# - Calculated volume: 124.6 Å³/cell
# - Excess energy over the best structure of this formula in the dataset: 0.000 eV/atom


# Pr2Sm2In5 PBE relaxed
data_Pr2Sm2In5
_space_group_name_H-M_alt 'P 1'
_space_group_IT_number 1
_cell_length_a 7.3643
_cell_length_b 10.2879
_cell_length_c 9.5473
_cell_angle_alpha 122.60
_cell_angle_beta 112.69
_cell_angle_gamma 90.00
loop_
_space_group_symop_operation_xyz
'x,y,z'
loop_
_atom_site_label
_atom_site_type_symbol
_atom_site_fract_x
_atom_site_fract_y
_atom_site_fract_z
Pr1 Pr 0.3471 0.9374 0.7471
Pr2 Pr 0.9000 0.4374 0.7471
Pr3 Pr 0.6529 0.1902 0.2529
Pr4 Pr 0.1000 0.6902 0.2529
In1 In 0.0671 0.0992 0.5000
In2 In 0.6377 0.6871 0.6969
In3 In 0.3623 0.9902 0.3031
In4 In 0.9329 0.5992 0.5000
In5 In 0.4408 0.4902 0.3031
In6 In 0.2694 0.7320 0.9117
In7 In 0.8577 0.3203 0.0883
In8 In 0.7306 0.8203 0.0883
In9 In 0.5592 0.1871 0.6969
In10 In 0.1423 0.2320 0.9117
Sm1 Sm 0.7479 0.8817 0.5000
Sm2 Sm 0.0000 0.9979 0.0000
Sm3 Sm 0.5000 0.4979 0.0000
Sm4 Sm 0.2521 0.3817 0.5000
# - Total energy: -0.1445 Ha/atom
# - Calculated volume: 541.8 Å³/cell


# Pr15Sm2In2 PBE relaxed
data_Pr15Sm2In2
_space_group_name_H-M_alt 'P 1'
_space_group_IT_number 1
_cell_length_a 8.8711
_cell_length_b 8.8711
_cell_length_c 8.8711
_cell_angle_alpha 79.50
_cell_angle_beta 79.50
_cell_angle_gamma 79.50
loop_
_space_group_symop_operation_xyz
'x,y,z'
loop_
_atom_site_label
_atom_site_type_symbol
_atom_site_fract_x
_atom_site_fract_y
_atom_site_fract_z
Pr1 Pr 0.7086 0.0000 0.2914
Pr2 Pr 0.8401 0.3748 0.3748
Pr3 Pr 0.5000 0.0000 0.0000
Pr4 Pr 0.1599 0.6252 0.6252
Pr5 Pr 0.3748 0.8401 0.3748
Pr6 Pr 0.2914 0.0000 0.7086
Pr7 Pr 0.7086 0.2914 0.0000
Pr8 Pr 0.0000 0.7086 0.2914
Pr9 Pr 0.0000 0.2914 0.7086
Pr10 Pr 0.6252 0.1599 0.6252
Pr11 Pr 0.2914 0.7086 0.0000
Pr12 Pr 0.0000 0.5000 0.0000
Pr13 Pr 0.3748 0.3748 0.8401
Pr14 Pr 0.0000 0.0000 0.5000
Pr15 Pr 0.6252 0.6252 0.1599
In1 In 0.0942 0.0942 0.0942
In2 In 0.9058 0.9058 0.9058
Sm1 Sm 0.6926 0.6926 0.6926
Sm2 Sm 0.3074 0.3074 0.3074
# - Total energy: -0.1630 Ha/atom
# - Calculated volume: 666.9 Å³/cell